Entry 1:
Here is a geometry-optimized Ba2MnHg structure from Alexandria. Energies are from PBE-GGA.

Cell: 5.8986 5.8934 4.1446 Å, 90.00 90.00 90.00°
Atoms (fractional coordinates):
Ba 0.0000 0.0000 0.0000
Ba 0.5000 0.5000 0.0000
Hg 0.5000 0.0000 0.5000
Mn 0.0000 0.5000 0.5000

Output
For the formation energy from the elements, the calculation gives 0.091 eV per atom. The space group is No. 123. The total magnetization is 4.1 μB/cell. The energy above the most stable polymorph in this dataset is 50 meV/atom.



Entry 2:
Here is a geometry-optimized YPdAu2 structure from Alexandria. Energies are from PBE-GGA.

Cell: 4.0445 4.0445 10.6013 Å, 79.00 79.00 90.00°
Atoms (fractional coordinates):
Y 0.5000 0.5000 0.0000
Y 0.2500 0.7500 0.5000
Au 0.6408 0.1250 0.2500
Au 0.1092 0.6250 0.2500
Au 0.3750 0.3592 0.7500
Au 0.8750 0.8908 0.7500
Pd 0.0000 0.0000 0.0000
Pd 0.7500 0.2500 0.5000

Output
For the formation energy from the elements, the calculation gives -0.460 eV per atom. The space group is No. 122. The total magnetization is 0.0 μB/cell.